# TmMoO4F PBE+U relaxed
data_TmMoO4F
_chemical_formula_sum 'Tm2 Mo2 O8 F2'
_space_group_name_H-M_alt 'P 1'
_space_group_IT_number 1
_space_group_name_Hall 'P 1'
_cell_length_a 5.9659
_cell_length_b 5.9659
_cell_length_c 7.0057
_cell_angle_alpha 104.71
_cell_angle_beta 104.71
_cell_angle_gamma 75.36
loop_
_atom_site_label
_atom_site_type_symbol
_atom_site_fract_x
_atom_site_fract_y
_atom_site_fract_z
_atom_site_occupancy
Tm1 Tm 0.2013 0.2013 0.1112 1
Tm2 Tm 0.7987 0.7987 0.8888 1
Mo1 Mo 0.3475 0.3475 0.7199 1
Mo2 Mo 0.6525 0.6525 0.2801 1
O1 O 0.0991 0.4856 0.8422 1
O2 O 0.2581 0.2581 0.4555 1
O3 O 0.4550 0.4550 0.2235 1
O4 O 0.4856 0.0991 0.8422 1
O5 O 0.5144 0.9009 0.1578 1
O6 O 0.5450 0.5450 0.7765 1
O7 O 0.7419 0.7419 0.5445 1
O8 O 0.9009 0.5144 0.1578 1
F1 F 0.0158 0.0158 0.8320 1
F2 F 0.9842 0.9842 0.1680 1
# - Final energy: -7.375 eV per atom
# - Excess energy over the best structure of this formula in the dataset: 0.005 eV/atom